DFT (GGA-PBE) results for a relaxed structure of BeMoSe2.

a = 3.4444 Å, b = 3.4444 Å, c = 7.2616 Å
α = 90.00°, β = 90.00°, γ = 124.64°
With the nearest neighbours (Å) after each atom.
Element x y z (fractional)
Be: 0.5000 0.5000 0.2500  4 Se 2.27
Mo: 0.5000 0.5000 0.7500  4 Se 2.57
Se: 0.0000 0.0000 0.0274  2 Be 2.27
Se: 0.0000 0.0000 0.4726  2 Be 2.27

Values from the calculation:
**Raw formation energy**: 0.391 eV/atom
**E_tot**: -19.96 eV per cell
**Total magnetization**: 0.7 μB/f.u.

DFT (GGA-PBE) results for a relaxed structure of BeMo2Se.

a = 3.0279 Å, b = 3.0279 Å, c = 6.1141 Å
α = 90.00°, β = 90.00°, γ = 90.00°
With the nearest neighbours (Å) after each atom.
Element x y z (fractional)
Be: 0.5000 0.5000 0.7500  8 Mo 2.53
Mo: 0.0000 0.0000 0.9719  4 Be 2.53, 1 Mo 2.71, 4 Se 2.73
Mo: 0.0000 0.0000 0.5281  4 Be 2.53, 1 Mo 2.71, 4 Se 2.73
Se: 0.5000 0.5000 0.2500  8 Mo 2.73, 4 Se 3.03, 2 Be 3.06

Values from the calculation:
**Raw formation energy**: 0.200 eV/atom
**Energy above the lowest structure with this stoichiometry**: 0.697 eV per formula unit
**E_tot**: -28.07 eV per cell
**Total magnetization**: 0.0 μB/f.u.

DFT (GGA-PBE) results for a relaxed structure of BeMoSe2.

a = 4.1709 Å, b = 3.4736 Å, c = 5.3781 Å
α = 113.49°, β = 90.00°, γ = 90.00°
With the nearest neighbours (Å) after each atom.
Element x y z (fractional)
Be: 0.5000 0.2500 0.2500  2 Mo 2.55, 4 Se 2.67
Mo: 0.5000 0.7500 0.7500  4 Se 2.51, 2 Be 2.55
Se: 0.0000 0.7641 0.0133  2 Mo 2.51, 2 Se 2.59-2.79, 2 Be 2.67
Se: 0.0000 0.7359 0.4867  2 Mo 2.51, 2 Se 2.59-2.79, 2 Be 2.67

Values from the calculation:
**Raw formation energy**: 0.514 eV/atom
**E_tot**: -19.47 eV per cell
**Total magnetization**: 0.0 μB/f.u.